Entry 1:
Crystalline TaFeTcAs at its relaxed geometry, computed with PBE.

Calculated values
E above lowest polymorph = 0.000 eV per atom

```
TaFeTcAs
1.0
6.130 0.000 0.000
0.000 6.130 0.000
0.000 0.000 6.130
Ta Fe Tc As
4 4 4 4
direct
0.000 0.000 0.000 Ta
0.000 0.500 0.500 Ta
0.500 0.000 0.500 Ta
0.500 0.500 0.000 Ta
0.250 0.250 0.750 Fe
0.250 0.750 0.250 Fe
0.750 0.250 0.250 Fe
0.750 0.750 0.750 Fe
0.250 0.250 0.250 Tc
0.250 0.750 0.750 Tc
0.750 0.250 0.750 Tc
0.750 0.750 0.250 Tc
0.000 0.000 0.500 As
0.000 0.500 0.000 As
0.500 0.000 0.000 As
0.500 0.500 0.500 As
```

***

Entry 2:
Crystalline YTaFeAs at its relaxed geometry, computed with PBE.

Calculated values
E above lowest polymorph = 0.000 eV per atom

```
YTaFeAs
1.0
6.505 0.000 0.000
0.000 6.505 0.000
0.000 0.000 6.505
Y Ta Fe As
4 4 4 4
direct
0.000 0.000 0.000 Y
0.000 0.500 0.500 Y
0.500 0.000 0.500 Y
0.500 0.500 0.000 Y
0.250 0.250 0.750 Ta
0.250 0.750 0.250 Ta
0.750 0.250 0.250 Ta
0.750 0.750 0.750 Ta
0.000 0.000 0.500 Fe
0.000 0.500 0.000 Fe
0.500 0.000 0.000 Fe
0.500 0.500 0.500 Fe
0.250 0.250 0.250 As
0.250 0.750 0.750 As
0.750 0.250 0.750 As
0.750 0.750 0.250 As
```

***

Entry 3:
Crystalline TaZnFeAs at its relaxed geometry, computed with PBE.

Calculated values
E above lowest polymorph = 0.059 eV per atom

```
TaZnFeAs
1.0
6.192 0.000 0.000
0.000 6.192 0.000
0.000 0.000 6.192
Ta Zn Fe As
4 4 4 4
direct
0.000 0.000 0.000 Ta
0.000 0.500 0.500 Ta
0.500 0.000 0.500 Ta
0.500 0.500 0.000 Ta
0.250 0.250 0.250 Zn
0.250 0.750 0.750 Zn
0.750 0.250 0.750 Zn
0.750 0.750 0.250 Zn
0.250 0.250 0.750 Fe
0.250 0.750 0.250 Fe
0.750 0.250 0.250 Fe
0.750 0.750 0.750 Fe
0.000 0.000 0.500 As
0.000 0.500 0.000 As
0.500 0.000 0.000 As
0.500 0.500 0.500 As
```

***

Entry 4:
Crystalline TaZnFeAs at its relaxed geometry, computed with PBE.

Calculated values
E above lowest polymorph = 0.000 eV per atom

```
TaZnFeAs
1.0
6.173 0.000 0.000
0.000 6.173 0.000
0.000 0.000 6.173
Ta Zn Fe As
4 4 4 4
direct
0.000 0.000 0.000 Ta
0.000 0.500 0.500 Ta
0.500 0.000 0.500 Ta
0.500 0.500 0.000 Ta
0.250 0.250 0.750 Zn
0.250 0.750 0.250 Zn
0.750 0.250 0.250 Zn
0.750 0.750 0.750 Zn
0.000 0.000 0.500 Fe
0.000 0.500 0.000 Fe
0.500 0.000 0.000 Fe
0.500 0.500 0.500 Fe
0.250 0.250 0.250 As
0.250 0.750 0.750 As
0.750 0.250 0.750 As
0.750 0.750 0.250 As
```

***

Entry 5:
Crystalline FeTcAsW at its relaxed geometry, computed with PBE.

Calculated values
E above lowest polymorph = 0.000 eV per atom

```
FeTcAsW
1.0
6.100 0.000 0.000
0.000 6.100 0.000
0.000 0.000 6.100
Fe Tc As W
4 4 4 4
direct
0.000 0.000 0.000 Fe
0.000 0.500 0.500 Fe
0.500 0.000 0.500 Fe
0.500 0.500 0.000 Fe
0.000 0.000 0.500 Tc
0.000 0.500 0.000 Tc
0.500 0.000 0.000 Tc
0.500 0.500 0.500 Tc
0.250 0.250 0.750 As
0.250 0.750 0.250 As
0.750 0.250 0.250 As
0.750 0.750 0.750 As
0.250 0.250 0.250 W
0.250 0.750 0.750 W
0.750 0.250 0.750 W
0.750 0.750 0.250 W
```

***

Entry 6:
Crystalline YFeTcAs at its relaxed geometry, computed with PBE.

Calculated values
E above lowest polymorph = 0.132 eV per atom

```
YFeTcAs
1.0
6.549 0.000 0.000
0.000 6.549 0.000
0.000 0.000 6.549
Y Fe Tc As
4 4 4 4
direct
0.000 0.000 0.000 Y
0.000 0.500 0.500 Y
0.500 0.000 0.500 Y
0.500 0.500 0.000 Y
0.000 0.000 0.500 Fe
0.000 0.500 0.000 Fe
0.500 0.000 0.000 Fe
0.500 0.500 0.500 Fe
0.250 0.250 0.750 Tc
0.250 0.750 0.250 Tc
0.750 0.250 0.250 Tc
0.750 0.750 0.750 Tc
0.250 0.250 0.250 As
0.250 0.750 0.750 As
0.750 0.250 0.750 As
0.750 0.750 0.250 As
```

***

Entry 7:
Crystalline YFeTcAs at its relaxed geometry, computed with PBE.

Calculated values
E above lowest polymorph = 0.000 eV per atom

```
YFeTcAs
1.0
6.318 0.000 0.000
0.000 6.318 0.000
0.000 0.000 6.318
Y Fe Tc As
4 4 4 4
direct
0.000 0.000 0.000 Y
0.000 0.500 0.500 Y
0.500 0.000 0.500 Y
0.500 0.500 0.000 Y
0.250 0.250 0.750 Fe
0.250 0.750 0.250 Fe
0.750 0.250 0.250 Fe
0.750 0.750 0.750 Fe
0.250 0.250 0.250 Tc
0.250 0.750 0.750 Tc
0.750 0.250 0.750 Tc
0.750 0.750 0.250 Tc
0.000 0.000 0.500 As
0.000 0.500 0.000 As
0.500 0.000 0.000 As
0.500 0.500 0.500 As
```

***

Entry 8:
Crystalline FeTeAs at its relaxed geometry, computed with PBE.

Calculated values
raw total energy = -5.519 eV per atom

```
FeTeAs
1.0
3.423 0.000 0.000
0.000 5.271 0.000
0.000 0.000 6.128
Fe Te As
2 2 2
direct
0.000 0.232 0.000 Fe
0.500 0.768 0.500 Fe
0.000 0.441 0.630 Te
0.500 0.559 0.130 Te
0.000 0.039 0.349 As
0.500 0.961 0.849 As
```

***

Entry 9:
Crystalline FeTeAs at its relaxed geometry, computed with PBE.

Calculated values
raw total energy = -5.481 eV per atom

```
FeTeAs
1.0
5.265 0.000 0.000
0.000 3.443 0.000
-0.104 0.000 6.129
Fe Te As
2 2 2
direct
0.000 0.000 0.000 Fe
0.500 0.500 0.500 Fe
0.211 0.000 0.648 Te
0.789 0.000 0.352 Te
0.308 0.500 0.134 As
0.692 0.500 0.866 As
```

***

Entry 10:
Crystalline TlFe3As5 at its relaxed geometry, computed with PBE.

Calculated values
raw total energy = -5.646 eV per atom

```
TlFe3As5
1.0
5.032 0.000 0.000
-2.516 4.358 0.000
0.000 0.000 7.924
Tl Fe As
1 3 5
direct
0.000 0.000 0.000 Tl
0.000 0.500 0.500 Fe
0.500 0.000 0.500 Fe
0.500 0.500 0.500 Fe
0.000 0.000 0.500 As
0.333 0.667 0.247 As
0.333 0.667 0.753 As
0.667 0.333 0.247 As
0.667 0.333 0.753 As
```

***

Entry 11:
Crystalline TlFe4As3 at its relaxed geometry, computed with PBE.

Calculated values
raw total energy = -6.134 eV per atom

```
TlFe4As3
1.0
1.914 1.105 11.123
-1.914 1.105 11.123
0.000 -2.210 11.123
Tl Fe As
1 4 3
direct
0.000 0.000 0.000 Tl
0.192 0.192 0.192 Fe
0.430 0.430 0.430 Fe
0.570 0.570 0.570 Fe
0.808 0.808 0.808 Fe
0.264 0.264 0.264 As
0.500 0.500 0.500 As
0.736 0.736 0.736 As
```

***

Entry 12:
Crystalline TlFe4As2 at its relaxed geometry, computed with PBE.

Calculated values
raw total energy = -6.469 eV per atom

```
TlFe4As2
1.0
2.003 1.157 8.727
-2.003 1.157 8.727
0.000 -2.313 8.727
Tl Fe As
1 4 2
direct
0.000 0.000 0.000 Tl
0.147 0.147 0.147 Fe
0.454 0.454 0.454 Fe
0.546 0.546 0.546 Fe
0.853 0.853 0.853 Fe
0.242 0.242 0.242 As
0.758 0.758 0.758 As
```

***

Entry 13:
Crystalline ZrFeAsW at its relaxed geometry, computed with PBE.

Calculated values
E above lowest polymorph = 0.000 eV per atom

```
ZrFeAsW
1.0
6.292 0.000 0.000
0.000 6.292 0.000
0.000 0.000 6.292
Zr Fe As W
4 4 4 4
direct
0.000 0.000 0.000 Zr
0.000 0.500 0.500 Zr
0.500 0.000 0.500 Zr
0.500 0.500 0.000 Zr
0.250 0.250 0.750 Fe
0.250 0.750 0.250 Fe
0.750 0.250 0.250 Fe
0.750 0.750 0.750 Fe
0.000 0.000 0.500 As
0.000 0.500 0.000 As
0.500 0.000 0.000 As
0.500 0.500 0.500 As
0.250 0.250 0.250 W
0.250 0.750 0.750 W
0.750 0.250 0.750 W
0.750 0.750 0.250 W
```

***

Entry 14:
Crystalline YFeAs2 at its relaxed geometry, computed with PBE.

Calculated values
raw total energy = -6.041 eV per atom

```
YFeAs2
1.0
6.710 0.000 0.000
0.000 6.710 0.000
0.000 0.000 6.710
Y Fe As
4 4 8
direct
0.000 0.000 0.000 Y
0.000 0.500 0.500 Y
0.500 0.000 0.500 Y
0.500 0.500 0.000 Y
0.250 0.250 0.250 Fe
0.250 0.750 0.750 Fe
0.750 0.250 0.750 Fe
0.750 0.750 0.250 Fe
0.000 0.000 0.500 As
0.000 0.500 0.000 As
0.250 0.250 0.750 As
0.250 0.750 0.250 As
0.500 0.000 0.000 As
0.500 0.500 0.500 As
0.750 0.250 0.250 As
0.750 0.750 0.750 As
```

***

Entry 15:
Crystalline YFe2As at its relaxed geometry, computed with PBE.

Calculated values
raw total energy = -6.944 eV per atom

```
YFe2As
1.0
6.434 0.000 0.000
0.000 6.434 0.000
0.000 0.000 6.434
Y Fe As
4 8 4
direct
0.000 0.000 0.000 Y
0.000 0.500 0.500 Y
0.500 0.000 0.500 Y
0.500 0.500 0.000 Y
0.000 0.000 0.500 Fe
0.000 0.500 0.000 Fe
0.250 0.250 0.250 Fe
0.250 0.750 0.750 Fe
0.500 0.000 0.000 Fe
0.500 0.500 0.500 Fe
0.750 0.250 0.750 Fe
0.750 0.750 0.250 Fe
0.250 0.250 0.750 As
0.250 0.750 0.250 As
0.750 0.250 0.250 As
0.750 0.750 0.750 As
```

***

Entry 16:
Crystalline YZrFeAs at its relaxed geometry, computed with PBE.

Calculated values
E above lowest polymorph = 0.000 eV per atom

```
YZrFeAs
1.0
6.671 0.000 0.000
0.000 6.671 0.000
0.000 0.000 6.671
Y Zr Fe As
4 4 4 4
direct
0.000 0.000 0.000 Y
0.000 0.500 0.500 Y
0.500 0.000 0.500 Y
0.500 0.500 0.000 Y
0.250 0.250 0.750 Zr
0.250 0.750 0.250 Zr
0.750 0.250 0.250 Zr
0.750 0.750 0.750 Zr
0.000 0.000 0.500 Fe
0.000 0.500 0.000 Fe
0.500 0.000 0.000 Fe
0.500 0.500 0.500 Fe
0.250 0.250 0.250 As
0.250 0.750 0.750 As
0.750 0.250 0.750 As
0.750 0.750 0.250 As
```

***

Entry 17:
Crystalline ZnFeAs2 at its relaxed geometry, computed with PBE.

Calculated values
raw total energy = -4.237 eV per atom

```
ZnFeAs2
1.0
6.401 0.000 0.000
0.000 6.401 0.000
0.000 0.000 6.401
Zn Fe As
4 4 8
direct
0.000 0.000 0.000 Zn
0.000 0.500 0.500 Zn
0.500 0.000 0.500 Zn
0.500 0.500 0.000 Zn
0.250 0.250 0.250 Fe
0.250 0.750 0.750 Fe
0.750 0.250 0.750 Fe
0.750 0.750 0.250 Fe
0.000 0.000 0.500 As
0.000 0.500 0.000 As
0.250 0.250 0.750 As
0.250 0.750 0.250 As
0.500 0.000 0.000 As
0.500 0.500 0.500 As
0.750 0.250 0.250 As
0.750 0.750 0.750 As
```

***

Entry 18:
Crystalline ZnFe2As at its relaxed geometry, computed with PBE.

Calculated values
E above lowest polymorph = 0.118 eV per atom

```
ZnFe2As
1.0
5.962 0.000 0.000
0.000 5.962 0.000
0.000 0.000 5.962
Zn Fe As
4 8 4
direct
0.000 0.000 0.000 Zn
0.000 0.500 0.500 Zn
0.500 0.000 0.500 Zn
0.500 0.500 0.000 Zn
0.000 0.000 0.500 Fe
0.000 0.500 0.000 Fe
0.250 0.250 0.250 Fe
0.250 0.750 0.750 Fe
0.500 0.000 0.000 Fe
0.500 0.500 0.500 Fe
0.750 0.250 0.750 Fe
0.750 0.750 0.250 Fe
0.250 0.250 0.750 As
0.250 0.750 0.250 As
0.750 0.250 0.250 As
0.750 0.750 0.750 As
```

***

Entry 19:
Crystalline ZnFe2As at its relaxed geometry, computed with PBE.

Calculated values
E above lowest polymorph = 0.000 eV per atom

```
ZnFe2As
1.0
5.770 0.000 0.000
0.000 5.770 0.000
0.000 0.000 5.770
Zn Fe As
4 8 4
direct
0.000 0.000 0.000 Zn
0.000 0.000 0.500 Zn
0.000 0.500 0.000 Zn
0.500 0.000 0.000 Zn
0.260 0.260 0.260 Fe
0.260 0.260 0.740 Fe
0.260 0.740 0.260 Fe
0.260 0.740 0.740 Fe
0.740 0.260 0.260 Fe
0.740 0.260 0.740 Fe
0.740 0.740 0.260 Fe
0.740 0.740 0.740 Fe
0.000 0.500 0.500 As
0.500 0.000 0.500 As
0.500 0.500 0.000 As
0.500 0.500 0.500 As
```

***

Entry 20:
Crystalline ZrZnFeAs at its relaxed geometry, computed with PBE.

Calculated values
E above lowest polymorph = 0.068 eV per atom

```
ZrZnFeAs
1.0
6.292 0.000 0.000
0.000 6.292 0.000
0.000 0.000 6.292
Zr Zn Fe As
4 4 4 4
direct
0.000 0.000 0.000 Zr
0.000 0.500 0.500 Zr
0.500 0.000 0.500 Zr
0.500 0.500 0.000 Zr
0.250 0.250 0.250 Zn
0.250 0.750 0.750 Zn
0.750 0.250 0.750 Zn
0.750 0.750 0.250 Zn
0.250 0.250 0.750 Fe
0.250 0.750 0.250 Fe
0.750 0.250 0.250 Fe
0.750 0.750 0.750 Fe
0.000 0.000 0.500 As
0.000 0.500 0.000 As
0.500 0.000 0.000 As
0.500 0.500 0.500 As
```